Below is an optimized crystal structure of LaNdHgSb, with properties calculated at the GGA-PBE level.

Properties
symmetry = No. 216
size of the total moment = 0.0 μB per formula unit
raw formation energy = -0.712 eV per atom

The structure in POSCAR format:
```
LaNdHgSb
1.0
0.0000 3.8842 3.8842
3.8842 0.0000 3.8842
3.8842 3.8842 0.0000
La Nd Hg Sb
1 1 1 1
Direct
0.0000 0.0000 0.0000 La
0.5000 0.5000 0.5000 Nd
0.7500 0.7500 0.7500 Hg
0.2500 0.2500 0.2500 Sb
```


Below is an optimized crystal structure of Sr2InSn2, with properties calculated at the GGA-PBE level.

Properties
energy of formation = -0.29 eV per atom
symmetry = No. 139
size of the total moment = 0.0 μB per formula unit
energy above the lowest structure with this stoichiometry = 261 meV/atom

The structure in POSCAR format:
```
Sr2InSn2
1.0
-2.1255 2.1255 9.7836
2.1255 -2.1255 9.7836
2.1255 2.1255 -9.7836
Sr In Sn
2 1 2
Direct
0.1033 0.1033 0.0000 Sr
0.8967 0.8967 0.0000 Sr
0.5000 0.5000 0.0000 In
0.2500 0.7500 0.5000 Sn
0.7500 0.2500 0.5000 Sn
```


Below is an optimized crystal structure of ErGaAg2S4, with properties calculated at the GGA-PBE level.

Properties
symmetry = No. 74
size of the total moment = 0.0 μB per formula unit
raw formation energy = -0.767 eV per atom

The structure in POSCAR format:
```
ErGaAg2S4
1.0
-3.6467 4.0530 5.4104
3.6467 -4.0530 5.4104
3.6467 4.0530 -5.4104
Er Ga Ag S
2 2 4 8
Direct
0.0000 0.0000 0.0000 Er
0.5000 0.0000 0.5000 Er
0.5000 0.0000 0.0000 Ga
0.5000 0.5000 0.5000 Ga
0.0000 0.0000 0.5000 Ag
0.0000 0.5000 0.0000 Ag
0.0000 0.5000 0.5000 Ag
0.5000 0.5000 0.0000 Ag
0.2393 0.2360 0.4967 S
0.2393 0.7426 0.0033 S
0.2950 0.2500 0.0450 S
0.2951 0.7500 0.5450 S
0.7049 0.2500 0.4550 S
0.7050 0.7500 0.9550 S
0.7607 0.2574 0.9967 S
0.7607 0.7640 0.5033 S
```


Below is an optimized crystal structure of TaVH2, with properties calculated at the GGA-PBE level.

Properties
symmetry = No. 160
size of the total moment = 0.0 μB per formula unit
energy above the lowest structure with this stoichiometry = 294 meV/atom

The structure in POSCAR format:
```
TaVH2
1.0
1.4272 0.8240 5.2288
-1.4272 0.8240 5.2288
0.0000 -1.6480 5.2288
Ta V H
1 1 2
Direct
0.0000 0.0000 0.0000 Ta
0.8278 0.8278 0.8278 V
0.2316 0.2316 0.2316 H
0.4282 0.4282 0.4282 H
```